(1)
Here is a geometry-optimized Ir4OsAu structure from the Alexandria database. Energies are from PBE-GGA.

The value obtained for the total energy is -180.52 eV for the cell shown. The value obtained for the magnetic moment is 0.30 μB per atom.

It has space group F-43m (No. 216), with a = 7.290 Å, b = 7.290 Å, c = 7.290 Å, α = 90.00°, β = 90.00° and γ = 90.00°. The distinct sites, in fractional coordinates, are Ir at (0.125, 0.125, 0.125), Os at (0.250, 0.250, 0.750) and Au at (0.000, 0.000, 0.500).



(2)
Here is a geometry-optimized Ir2OsAu structure from the Alexandria database. Energies are from PBE-GGA.

The energy above the most stable polymorph in this dataset comes out at 0.203 eV/atom. The value obtained for the total energy is -61.63 eV for the cell shown. The value obtained for the magnetic moment is 0.00 μB per atom.

It has space group Cm (No. 8), with a = 9.202 Å, b = 2.786 Å, c = 4.839 Å, α = 90.00°, β = 99.91° and γ = 90.00°. The distinct sites, in fractional coordinates, are Ir at (0.000, 0.000, 0.000), Ir at (0.245, 0.500, 0.255), Os at (0.260, 0.000, 0.787) and Au at (0.002, 0.500, 0.509).



(3)
Here is a geometry-optimized Ir2OsAu structure from the Alexandria database. Energies are from PBE-GGA.

The energy above the most stable polymorph in this dataset comes out at 0.665 eV/atom. The value obtained for the total energy is -115.86 eV for the cell shown. The value obtained for the magnetic moment is 0.00 μB per atom.

It has space group I-42d (No. 122), with a = 7.150 Å, b = 7.150 Å, c = 5.406 Å, α = 90.00°, β = 90.00° and γ = 90.00°. The distinct sites, in fractional coordinates, are Ir at (0.214, 0.250, 0.125), Os at (0.000, 0.000, 0.000) and Au at (0.000, 0.000, 0.500).



(4)
Here is a geometry-optimized Ir2OsAu structure from the Alexandria database. Energies are from PBE-GGA.

The energy above the most stable polymorph in this dataset comes out at 0.291 eV/atom. The value obtained for the total energy is -60.92 eV for the cell shown. The value obtained for the magnetic moment is 0.00 μB per atom.

It has space group I-4m2 (No. 119), with a = 3.906 Å, b = 3.906 Å, c = 7.965 Å, α = 90.00°, β = 90.00° and γ = 90.00°. The distinct sites, in fractional coordinates, are Ir at (0.000, 0.000, 0.000), Ir at (0.000, 0.500, 0.250), Os at (0.000, 0.500, 0.750) and Au at (0.000, 0.000, 0.500).



| no. | DFT formation energy (eV per atom) |
| --- | --- |
| 1 | 0.80 |
| 2 | 0.35 |
| 3 | 0.82 |
| 4 | 0.44 |